VASP calculation (GGA-PBE) on a geometry-optimized BaSbBr2 structure.

Computed properties:
As for the total energy: -3.45 eV per atom. Its space group is C2/m (12). As for the uncorrected formation energy: -1100.2 meV per atom. For the density of states at the Fermi level, the calculation gives 1.45 states/eV per cell. Its spin magnetization is 0.0000 μB per atom.

Unit cell a=6.0795 b=6.0795 c=6.2379 alpha=87.47 beta=87.47 gamma=39.35
Closest atoms and distances in Å follow each position.
Atoms (fractional coordinates):
1 Ba 0.2500 0.2500 0.2500  4 Br 3.30
2 Br 0.5558 0.5558 0.4797  1 Sb 2.85
3 Br 0.9442 0.9442 0.0203  1 Sb 2.85
4 Sb 0.7500 0.7500 0.7500  2 Br 2.85